# La12NdTm7, relaxed, DFT PBE
# * offset from the most stable computed form: 0.000 eV/atom
data_La12NdTm7
_chemical_formula_sum 'La36 Nd3 Tm21'
_cell_length_a 15.4475
_cell_length_b 15.4475
_cell_length_c 10.0619
_cell_angle_alpha 90.00
_cell_angle_beta 90.00
_cell_angle_gamma 120.00
_space_group_name_H-M_alt 'R -3'
_space_group_IT_number 148
_space_group_name_Hall '-R 3'
loop_
_atom_site_label
_atom_site_type_symbol
_atom_site_fract_x
_atom_site_fract_y
_atom_site_fract_z
La1 La 0.0369 0.7811 0.0765
La2 La 0.0381 0.8466 0.7670
Nd1 Nd 0.0000 0.0000 0.5000
Tm1 Tm 0.0000 0.0000 0.0000
Tm2 Tm 0.0715 0.8259 0.4325

***

# BaSiPW2, relaxed, DFT PBE
# * formation energy without anion corrections: 1.1022 eV per atom
data_BaSiPW2
_chemical_formula_sum 'Ba1 Si1 P1 W2'
_cell_length_a 4.560
_cell_length_b 4.560
_cell_length_c 5.886
_cell_angle_alpha 90.00
_cell_angle_beta 90.00
_cell_angle_gamma 90.00
_space_group_name_H-M_alt 'P 4/m m m'
_space_group_IT_number 123
_space_group_name_Hall '-P 4 2'
loop_
_atom_site_label
_atom_site_type_symbol
_atom_site_fract_x
_atom_site_fract_y
_atom_site_fract_z
Ba1 Ba 0.000 0.000 0.000
Si1 Si 0.500 0.500 0.000
P1 P 0.000 0.000 0.500
W1 W 0.000 0.500 0.500

***

An optimized crystal structure of Li2DyPd5. Source: Alexandria via LeMat-Bulk, functional PBE.

Structure (CIF):
```
data_Li2DyPd5
_chemical_formula_sum 'Li4 Dy2 Pd10'
_cell_length_a 4.211
_cell_length_b 4.211
_cell_length_c 13.956
_cell_angle_alpha 90.00
_cell_angle_beta 90.00
_cell_angle_gamma 90.00
_space_group_name_H-M_alt 'I 4/m m m'
_space_group_IT_number 139
_space_group_name_Hall '-I 4 2'
loop_
_atom_site_label
_atom_site_type_symbol
_atom_site_fract_x
_atom_site_fract_y
_atom_site_fract_z
Li1 Li 0.000 0.000 0.249
Dy1 Dy 0.000 0.000 0.000
Pd1 Pd 0.000 0.000 0.500
Pd2 Pd 0.000 0.500 0.141
```

***

# GaPbO3, relaxed, DFT PBE
# * formation energy without anion corrections: -1.1123 eV per atom
data_GaPbO3
_chemical_formula_sum 'Ga1 Pb1 O3'
_cell_length_a 3.909
_cell_length_b 3.909
_cell_length_c 3.909
_cell_angle_alpha 90.00
_cell_angle_beta 90.00
_cell_angle_gamma 90.00
_space_group_name_H-M_alt 'P m -3 m'
_space_group_IT_number 221
_space_group_name_Hall '-P 4 2 3'
loop_
_atom_site_label
_atom_site_type_symbol
_atom_site_fract_x
_atom_site_fract_y
_atom_site_fract_z
Ga1 Ga 0.000 0.000 0.000
Pb1 Pb 0.500 0.500 0.500
O1 O 0.000 0.000 0.500

***

# BaOsRu, relaxed, DFT PBE
# * offset from the most stable computed form: 2.081 eV/atom
data_BaOsRu
_chemical_formula_sum 'Ba4 Os4 Ru4'
_cell_length_a 6.645
_cell_length_b 6.645
_cell_length_c 6.645
_cell_angle_alpha 90.00
_cell_angle_beta 90.00
_cell_angle_gamma 90.00
_space_group_name_H-M_alt 'F -4 3 m'
_space_group_IT_number 216
_space_group_name_Hall 'F -4 2 3'
loop_
_atom_site_label
_atom_site_type_symbol
_atom_site_fract_x
_atom_site_fract_y
_atom_site_fract_z
Ba1 Ba 0.000 0.000 0.000
Os1 Os 0.250 0.250 0.250
Ru1 Ru 0.250 0.250 0.750

***

An optimized crystal structure of LiZnRu2. Source: Alexandria via LeMat-Bulk, functional PBE.

Structure (CIF):
```
data_LiZnRu2
_chemical_formula_sum 'Li3 Zn3 Ru6'
_cell_length_a 2.6902
_cell_length_b 2.6902
_cell_length_c 26.6832
_cell_angle_alpha 90.00
_cell_angle_beta 90.00
_cell_angle_gamma 120.00
_space_group_name_H-M_alt 'R -3 m'
_space_group_IT_number 166
_space_group_name_Hall '-R 3 2"'
loop_
_atom_site_label
_atom_site_type_symbol
_atom_site_fract_x
_atom_site_fract_y
_atom_site_fract_z
Li1 Li 0.0000 0.0000 0.0000
Zn1 Zn 0.0000 0.0000 0.5000
Ru1 Ru 0.0000 0.0000 0.2483
```

***

Number 1: VASP energy -277.76 eV/cell. Number 2: VASP energy -33.15 eV/cell. Number 3: VASP energy -79.12 eV/cell. Number 4: VASP energy -27.17 eV/cell. Number 5: VASP energy -60.74 eV/cell. Number 6: VASP energy -63.67 eV/cell.